Record 1
VASP calculation (PBE) on crystalline MgAg2Pd2 at its relaxed geometry.

- energy of formation (eV per atom) = -0.09
- excess energy over the best structure of this formula in the dataset (meV/atom) = 206

The structure in extended XYZ format:
```
10
Lattice="7.6220 0.0000 0.0000 0.0000 7.6220 0.0000 0.0000 0.0000 3.1122" Properties=species:S:1:pos:R:3 pbc="T T T"
Mg 0.0000 0.0000 0.0000
Mg 3.8110 3.8110 0.0000
Pd 1.2755 5.0864 1.5561
Pd 5.0864 6.3465 1.5561
Pd 6.3465 2.5355 1.5561
Pd 2.5355 1.2755 1.5561
Ag 2.8144 6.6254 0.0000
Ag 6.6254 4.8076 0.0000
Ag 4.8076 0.9966 0.0000
Ag 0.9966 2.8144 0.0000
```

Record 2
VASP calculation (PBE) on crystalline Y3AlN at its relaxed geometry.

- E_form (uncorrected) (eV per atom) = -0.069

The structure in extended XYZ format:
```
5
Lattice="-1.1880 -3.1001 0.4978 7.4985 -3.1578 -1.7698 -3.3994 2.4578 7.1927" Properties=species:S:1:pos:R:3 pbc="T T T"
Y -0.2660 -1.3435 2.3178
Y 1.6529 -1.6712 4.8564
Y -0.5671 0.9983 4.8634
Al -3.0290 0.4108 6.6485
N 1.1724 0.1020 3.4328
```

| no. | total moment (μB per atom) |
| --- | --- |
| 1 | 0.000 |
| 2 | 0.000 |